(1)
{
  "formula": "K2Y4Cu4Se9",
  "functional": "GGA-PBEsol",
  "state": "relaxed",
  "raw_formation_energy_ev_per_atom": -1.3038,
  "space_group": "No. 12",
  "lattice": [[7.0379, -2.0239, 0.0000], [7.0379, 2.0239, 0.0000], [-5.3476, 0.0000, 15.3175]],
  "species": ["K", "K", "Y", "Y", "Y", "Y", "Cu", "Cu", "Cu", "Cu", "Se", "Se", "Se", "Se", "Se", "Se", "Se", "Se", "Se"],
  "fractional_positions": [[0.0329, 0.0329, 0.2695], [0.9671, 0.9671, 0.7305], [0.2320, 0.2320, 0.1031], [0.3449, 0.3449, 0.4441], [0.6551, 0.6551, 0.5559], [0.7680, 0.7680, 0.8969], [0.2405, 0.2405, 0.7294], [0.4234, 0.4234, 0.0273], [0.5766, 0.5766, 0.9727], [0.7595, 0.7595, 0.2706], [0.0000, 0.0000, 0.5000], [0.1335, 0.1335, 0.9216], [0.3026, 0.3026, 0.6056], [0.3564, 0.3564, 0.2770], [0.3942, 0.3942, 0.8694], [0.6058, 0.6058, 0.1306], [0.6436, 0.6436, 0.7230], [0.6974, 0.6974, 0.3944], [0.8665, 0.8665, 0.0784]]
}

---

(2)
{
  "formula": "LiAlC",
  "functional": "GGA-PBEsol",
  "state": "relaxed",
  "ef_ev_per_fu": -0.4,
  "space_group": "No. 62",
  "lattice": [[6.9252, 0.0000, 0.0000], [0.0000, 3.4541, 0.0000], [0.0000, 0.0000, 5.0041]],
  "species": ["Li", "Li", "Li", "Li", "Al", "Al", "Al", "Al", "C", "C", "C", "C"],
  "fractional_positions": [[0.0989, 0.2500, 0.0452], [0.4011, 0.7500, 0.5452], [0.5989, 0.2500, 0.4548], [0.9011, 0.7500, 0.9548], [0.1426, 0.2500, 0.5393], [0.3574, 0.7500, 0.0393], [0.6426, 0.2500, 0.9607], [0.8574, 0.7500, 0.4607], [0.1330, 0.7500, 0.3031], [0.3670, 0.2500, 0.8031], [0.6330, 0.7500, 0.1969], [0.8670, 0.2500, 0.6969]]
}

---

(3)
{
  "formula": "TaTcS3",
  "functional": "GGA-PBEsol",
  "state": "relaxed",
  "raw_formation_energy_ev_per_atom": 0.4204,
  "space_group": "No. 221",
  "lattice": [[4.7196, 0.0000, 0.0000], [0.0000, 4.7196, 0.0000], [0.0000, 0.0000, 4.7196]],
  "species": ["Ta", "Tc", "S", "S", "S"],
  "fractional_positions": [[0.0000, 0.0000, 0.0000], [0.5000, 0.5000, 0.5000], [0.0000, 0.0000, 0.5000], [0.0000, 0.5000, 0.0000], [0.5000, 0.0000, 0.0000]]
}